Entry 1:
This record from Alexandria via LeMat-Bulk describes a relaxed Li3Ac2SiNi12 crystal. The functional is PBE-GGA.

## Properties
E_form (uncorrected): 81 meV/atom
Space group: R-3m
E: -87.30 eV for the cell shown

Cell: 9.154 9.154 9.154 Å, 38.72 38.72 38.72°
Atoms (fractional coordinates):
Li 0.500 0.000 0.000
Li 0.000 0.500 0.000
Li 0.000 0.000 0.500
Ac 0.653 0.653 0.653
Ac 0.347 0.347 0.347
Si 0.000 0.000 0.000
Ni 0.419 0.419 0.810
Ni 0.935 0.935 0.343
Ni 0.343 0.935 0.935
Ni 0.810 0.419 0.419
Ni 0.935 0.343 0.935
Ni 0.419 0.810 0.419
Ni 0.581 0.581 0.190
Ni 0.065 0.065 0.657
Ni 0.657 0.065 0.065
Ni 0.190 0.581 0.581
Ni 0.065 0.657 0.065
Ni 0.581 0.190 0.581

Entry 2:
This record from Alexandria via LeMat-Bulk describes a relaxed BaY3Sc crystal. The functional is PBE-GGA.

## Properties
Space group: Pm-3m
Energy above the lowest structure with this stoichiometry: 0.000 eV/f.u.
E: -25.36 eV for the cell shown

Cell: 5.818 5.818 5.818 Å, 90.00 90.00 90.00°
Atoms (fractional coordinates):
Y 0.000 0.500 0.000
Y 0.000 0.000 0.500
Y 0.500 0.000 0.000
Sc 0.000 0.000 0.000
Ba 0.500 0.500 0.500